Record 1
Here is a crystal of LaTaRu3 relaxed with PBEsol from the Alexandria database. Energies are from meta-GGA SCAN.

```
LaTaRu3
1.0
-0.9268 3.2065 3.3249
2.8321 -2.2845 2.9926
3.6490 2.5875 -1.4781
Ru La Ta
3 1 1
Cartesian
1.4161 -1.1422 1.4963
1.8245 1.2937 -0.7391
-0.4634 1.6032 1.6624
2.7772 1.7548 2.4197
0.0000 0.0000 0.0000
```

E_form   0.49 eV/atom
Uncorrected energy   -42.341 eV per atom



Record 2
Here is a crystal of LaTaRu2 relaxed with PBEsol from the Alexandria database. Energies are from meta-GGA SCAN.

```
LaTaRu2
1.0
-1.3424 3.0093 1.3319
-2.1838 0.2616 -2.7919
-4.3080 -3.2771 3.0625
Ru Ta La
2 1 1
Cartesian
-3.0144 0.6836 0.1596
-0.0411 -0.0312 0.0292
-1.7147 -1.3044 1.2190
-5.2180 -0.9927 1.7261
```

E_form   0.25 eV/atom
Uncorrected energy   -44.584 eV per atom



Record 3
Here is a crystal of LaTa3Ru relaxed with PBEsol from the Alexandria database. Energies are from meta-GGA SCAN.

```
LaTa3Ru
1.0
-0.9139 2.4212 -4.0988
-0.5072 -4.1994 -2.3675
-4.7334 -0.0175 1.0451
Ta Ru La
3 1 1
Cartesian
-2.3667 -0.0087 0.5225
-0.2536 -2.0997 -1.1838
-0.4570 1.2106 -2.0494
0.0000 0.0000 0.0000
-3.0772 -0.8978 -2.7106
```

E_form   0.71 eV/atom
Uncorrected energy   -54.827 eV per atom